Entry 1:
VASP calculation (PBE) on YMnFe2 after structural relaxation.

As for the crystal system: orthorhombic. The energy of formation from the pure elements is 0.36 eV per atom. For the relative energy among the computed polymorphs, the calculation gives 0.238 eV per atom.

The space group is Immm (No. 71) and the conventional cell measures 3.969, 3.987 and 8.188 Å, with angles of 90.00, 90.00 and 90.00 degrees. Symmetry generates all atoms from Y at (0.000, 0.000, 0.000), Mn at (0.000, 0.000, 0.500) and Fe at (0.000, 0.500, 0.250).


Entry 2:
VASP calculation (PBE) on Zn8Cu after structural relaxation.

As for the crystal system: tetragonal. The energy of formation from the pure elements is 0.02 eV per atom. For the relative energy among the computed polymorphs, the calculation gives 0.000 eV per atom.

The space group is I4/mmm (No. 139) and the conventional cell measures 8.146, 8.146 and 3.970 Å, with angles of 90.00, 90.00 and 90.00 degrees. Symmetry generates all atoms from Zn at (0.000, 0.330, 0.000), Zn at (0.163, 0.163, 0.500) and Cu at (0.000, 0.000, 0.000).


Entry 3:
VASP calculation (PBE) on Pu2BiH after structural relaxation.

As for the crystal system: orthorhombic. For the relative energy among the computed polymorphs, the calculation gives 0.000 eV per atom.

The space group is Cmmm (No. 65) and the conventional cell measures 4.792, 16.657 and 4.322 Å, with angles of 90.00, 90.00 and 90.00 degrees. Symmetry generates all atoms from Pu at (0.000, 0.000, 0.000), Pu at (0.000, 0.185, 0.500), Pu at (0.000, 0.500, 0.500), Bi at (0.000, 0.351, 0.000) and H at (0.000, 0.054, 0.500).


Entry 4:
VASP calculation (PBE) on BaLiMg2 after structural relaxation.

As for the crystal system: monoclinic. The energy of formation from the pure elements is 0.01 eV per atom. For the relative energy among the computed polymorphs, the calculation gives 0.051 eV per atom.

The space group is C2/m (No. 12) and the conventional cell measures 8.855, 5.118 and 6.757 Å, with angles of 90.00, 116.09 and 90.00 degrees. Symmetry generates all atoms from Ba at (0.000, 0.000, 0.000), Li at (0.000, 0.500, 0.500) and Mg at (0.199, 0.000, 0.598).


Entry 5:
VASP calculation (PBE) on V2Ga2Sn after structural relaxation.

As for the crystal system: tetragonal. The energy of formation from the pure elements is 0.03 eV per atom. For the relative energy among the computed polymorphs, the calculation gives 0.000 eV per atom.

The space group is P4/mbm (No. 127) and the conventional cell measures 6.874, 6.874 and 3.567 Å, with angles of 90.00, 90.00 and 90.00 degrees. Symmetry generates all atoms from V at (0.124, 0.376, 0.000), Ga at (0.168, 0.668, 0.500) and Sn at (0.000, 0.000, 0.000).


Entry 6:
VASP calculation (PBE) on Li2AlTl after structural relaxation.

As for the crystal system: orthorhombic. The energy of formation from the pure elements is -0.07 eV per atom.

The space group is Pmm2 (No. 25) and the conventional cell measures 3.112, 4.263 and 5.864 Å, with angles of 90.00, 90.00 and 90.00 degrees. Symmetry generates all atoms from Li at (0.000, 0.000, 0.000), Li at (0.500, 0.500, 0.267), Al at (0.500, 0.500, 0.781) and Tl at (0.000, 0.000, 0.497).


Entry 7:
VASP calculation (PBE) on AlSi2Os after structural relaxation.

As for the crystal system: trigonal.

The space group is R3m (No. 160, hexagonal axes) and the conventional cell measures 2.9612, 2.9612 and 22.9000 Å, with angles of 90.00, 90.00 and 120.00 degrees. Symmetry generates all atoms from Al at (0.0000, 0.0000, 0.0000), Si at (0.0000, 0.0000, 0.5032), Si at (0.0000, 0.0000, 0.7561) and Os at (0.0000, 0.0000, 0.2470).


Entry 8:
VASP calculation (PBE) on MgTeCl2 after structural relaxation.

As for the crystal system: tetragonal. For the relative energy among the computed polymorphs, the calculation gives 0.882 eV per atom.

The space group is P4/mmm (No. 123) and the conventional cell measures 4.545, 4.545 and 4.541 Å, with angles of 90.00, 90.00 and 90.00 degrees. Symmetry generates all atoms from Mg at (0.000, 0.000, 0.000), Te at (0.500, 0.500, 0.000) and Cl at (0.000, 0.500, 0.500).


no.,calculated total energy (eV per atom)
1,-7.78
2,-1.57
3,-9.25
4,-1.75
5,-5.63
6,-2.55
7,-6.46
8,-2.42